The following is a DFT calculation (meta-GGA SCAN) of a PBEsol-optimized structure of YMgCu.

Cell and atoms, written as POSCAR:
```
YMgCu
1.0
-1.982 -1.943 -2.973
-2.536 -1.608 2.742
-4.619 5.928 -0.796
Y Mg Cu
2 2 2
Direct
0.000 0.500 0.143
0.500 0.000 0.857
0.000 0.000 0.500
0.500 0.500 0.500
0.500 0.000 0.248
0.000 0.500 0.752
```

Calculated values
- Distance to the lowest polymorph of the same formula: 55 meV/atom
- Raw total energy: -1.192 Ry/atom
- Space-group type: P4/nmm (129)
- Energy of formation: -0.217 eV per atom